Entry 1:
# Pr4PbI5, optimized geometry, DFT PBE-GGA
data_Pr4PbI5
_chemical_formula_sum 'Pr8 Pb2 I10'
_cell_length_a 19.7816
_cell_length_b 4.4476
_cell_length_c 9.3136
_cell_angle_alpha 90.00
_cell_angle_beta 101.68
_cell_angle_gamma 90.00
_space_group_name_H-M_alt 'C 1 2/m 1'
_space_group_IT_number 12
loop_
_space_group_symop_operation_xyz
'x,y,z'
'-x,-y,-z'
'-x,y,-z'
'x,-y,z'
'x+1/2,y+1/2,z'
'-x+1/2,-y+1/2,-z'
'-x+1/2,y+1/2,-z'
'x+1/2,-y+1/2,z'
loop_
_atom_site_label
_atom_site_fract_x
_atom_site_fract_y
_atom_site_fract_z
_atom_site_occupancy
Pr1 0.0006 0.0000 0.2319 1
Pr2 0.1589 0.5000 0.0757 1
Pb1 0.0000 0.5000 0.0000 1
I1 0.0000 0.5000 0.5000 1
I2 0.1673 0.0000 0.3317 1
I3 0.1700 0.0000 0.8229 1
# spin magnetization: 0.000 μB per atom
# total DFT energy (no corrections): -4.181 eV per atom



Entry 2:
# TbSbPbI2, optimized geometry, DFT PBE-GGA
data_TbSbPbI2
_chemical_formula_sum 'Tb1 Sb1 Pb1 I2'
_cell_length_a 4.4610
_cell_length_b 4.4610
_cell_length_c 11.2916
_cell_angle_alpha 90.00
_cell_angle_beta 90.00
_cell_angle_gamma 120.00
_space_group_name_H-M_alt 'P 3 m 1'
_space_group_IT_number 156
loop_
_space_group_symop_operation_xyz
'x,y,z'
'-y,x-y,z'
'-x+y,-x,z'
'-y,-x,z'
'-x+y,y,z'
'x,x-y,z'
loop_
_atom_site_label
_atom_site_fract_x
_atom_site_fract_y
_atom_site_fract_z
_atom_site_occupancy
Tb1 0.0000 0.0000 0.0000 1
Sb1 0.6667 0.3333 0.1472 1
Pb1 0.3333 0.6667 0.3205 1
I1 0.0000 0.0000 0.5003 1
I2 0.3333 0.6667 0.8300 1
# spin magnetization: 0.001 μB per atom
# total DFT energy (no corrections): -3.945 eV per atom



Entry 3:
# ThPbI6, optimized geometry, DFT PBE-GGA
data_ThPbI6
_chemical_formula_sum 'Th2 Pb2 I12'
_cell_length_a 7.8157
_cell_length_b 7.8157
_cell_length_c 14.3293
_cell_angle_alpha 90.00
_cell_angle_beta 90.00
_cell_angle_gamma 120.00
_space_group_name_H-M_alt 'P -3 1 c'
_space_group_IT_number 163
_space_group_name_Hall '-P 3 2c'
loop_
_atom_site_label
_atom_site_fract_x
_atom_site_fract_y
_atom_site_fract_z
_atom_site_occupancy
Th1 0.3333 0.6667 0.2500 1
Pb1 0.0000 0.0000 0.0000 1
I1 0.0041 0.3472 0.3720 1
# spin magnetization: 0.000 μB per atom
# total DFT energy (no corrections): -3.523 eV per atom